Entry 1:
First-principles (PBE-GGA) data for a geometry-optimized LiMg2Fe structure, as listed in the Alexandria database. Values from VASP.

Quantum ESPRESSO input file:
```
&SYSTEM
  ibrav = 0, nat = 4, ntyp = 3
/
ATOMIC_SPECIES
Fe 55.84 Fe.upf
Li 6.94 Li.upf
Mg 24.30 Mg.upf
CELL_PARAMETERS angstrom
-2.6975 -0.8925 -0.5498
1.0360 -2.0182 -1.7969
0.4903 -5.3748 6.3196
ATOMIC_POSITIONS angstrom
Fe -0.7082 -2.7990 0.4066
Li -0.4630 -5.4864 3.5664
Mg 0.0130 -0.1429 0.1680
Mg 0.2321 -2.5445 2.9918
```

Output
volume: 69.6 Å³/f.u.
DFT formation energy: 134.8 meV per atom
uncorrected energy: -3.2566 eV per atom
symmetry: No. 123

=====

Entry 2:
First-principles (PBE-GGA) data for a geometry-optimized Ti10Ge3Sb3 structure, as listed in the Alexandria database. Values from VASP.

Quantum ESPRESSO input file:
```
&SYSTEM
  ibrav = 0, nat = 16, ntyp = 3
/
ATOMIC_SPECIES
Ti 47.87 Ti.upf
Ge 72.64 Ge.upf
Sb 121.76 Sb.upf
CELL_PARAMETERS angstrom
-2.8530 -3.4601 -2.8784
3.9579 2.0703 -6.4118
2.5950 -5.8595 4.4716
ATOMIC_POSITIONS angstrom
Ti 2.8226 -1.3988 -3.4710
Ti 2.3683 -4.0421 0.1568
Ti 0.8772 -5.8505 -1.3476
Ti 1.3315 -3.2072 -4.9754
Ti 0.5576 -6.2103 1.9798
Ti 1.5997 -0.1471 -6.3417
Ti 0.1160 -2.6220 -1.8959
Ti 0.6677 -1.5076 1.1505
Ti 1.0183 0.5327 -1.6497
Ti 4.8669 -2.8142 -1.4410
Ge 1.6046 -3.6232 2.7650
Ge 2.4474 1.2802 -3.9647
Ge 2.5009 -1.4461 -0.7405
Sb -0.3924 -4.0652 0.3428
Sb 0.1508 -0.9050 -3.9944
Sb 2.5149 -4.0092 -2.6062
```

Output
volume: 281.8 Å³/f.u.
raw formation energy: -563 meV/atom
uncorrected energy: -7.1360 eV per atom
symmetry: No. 189

=====

Entry 3:
First-principles (PBE-GGA) data for a geometry-optimized Cs3H5Pd structure, as listed in the Alexandria database. Values from VASP.

Quantum ESPRESSO input file:
```
&SYSTEM
  ibrav = 0, nat = 18, ntyp = 3
/
ATOMIC_SPECIES
Cs 132.91 Cs.upf
H 1.01 H.upf
Pd 106.42 Pd.upf
CELL_PARAMETERS angstrom
8.1631 0.0000 0.0000
0.0000 8.1631 0.0000
0.0000 0.0000 6.2956
ATOMIC_POSITIONS angstrom
Cs 4.0815 4.0815 0.0000
Cs 0.0000 0.0000 0.0000
Cs 1.5073 5.5888 3.1478
Cs 6.6558 2.5742 3.1478
Cs 5.5888 6.6558 3.1478
Cs 2.5742 1.5073 3.1478
H 4.0815 4.0815 3.1478
H 0.0000 0.0000 3.1478
H 4.9243 0.8428 5.1295
H 3.2387 7.3202 5.1295
H 0.8428 3.2387 5.1295
H 7.3202 4.9243 5.1295
H 3.2387 7.3202 1.1661
H 4.9243 0.8428 1.1661
H 7.3202 4.9243 1.1661
H 0.8428 3.2387 1.1661
Pd 4.0815 0.0000 0.0000
Pd 0.0000 4.0815 0.0000
```

Output
volume: 209.8 Å³/f.u.
excess energy over the best structure of this formula in the dataset: 0.000 eV per atom
uncorrected energy: -2.9881 eV per atom
symmetry: No. 127

=====

Entry 4:
First-principles (PBE-GGA) data for a geometry-optimized Zr4Ir structure, as listed in the Alexandria database. Values from VASP.

Quantum ESPRESSO input file:
```
&SYSTEM
  ibrav = 0, nat = 5, ntyp = 2
/
ATOMIC_SPECIES
Ir 192.22 Ir.upf
Zr 91.22 Zr.upf
CELL_PARAMETERS angstrom
-0.9449 4.8809 -0.9516
-3.3721 0.0830 3.7741
3.6549 1.3385 3.2361
ATOMIC_POSITIONS angstrom
Ir -0.3311 3.1512 3.0293
Zr 0.0000 0.0000 0.0000
Zr 1.3550 3.1097 1.1422
Zr 0.1414 0.7107 3.5051
Zr -2.1585 2.4820 1.4113
```

Output
volume: 129.7 Å³/f.u.
excess energy over the best structure of this formula in the dataset: 0.593 eV per atom
DFT formation energy: 224.8 meV per atom
uncorrected energy: -8.3859 eV per atom
symmetry: No. 221

=====

Entry 5:
First-principles (PBE-GGA) data for a geometry-optimized BaMg2Ti2O7 structure, as listed in the Alexandria database. Values from VASP.

Quantum ESPRESSO input file:
```
&SYSTEM
  ibrav = 0, nat = 12, ntyp = 4
/
ATOMIC_SPECIES
Ba 137.33 Ba.upf
Mg 24.30 Mg.upf
Ti 47.87 Ti.upf
O 16.00 O.upf
CELL_PARAMETERS angstrom
-2.7220 2.3972 -1.7353
0.0222 -2.4723 -3.4502
-4.8298 -4.6018 5.8775
ATOMIC_POSITIONS angstrom
Ba 0.0006 -0.0661 -0.0923
Mg -3.0831 -3.5446 -0.0604
Mg -4.4468 -1.1036 0.7926
Ti -4.7481 -3.6767 2.3691
Ti -2.7795 -1.2228 -1.9876
O -4.6815 -4.6847 0.8720
O -4.2254 -2.1657 -1.0220
O -1.4767 -2.3394 -0.9153
O -2.8494 0.1556 0.0264
O -3.3048 -2.4504 1.7990
O -6.0532 -2.3103 1.6454
O -1.3501 -0.0132 -2.5587
```

Output
volume: 143.3 Å³/f.u.
raw formation energy: -2937 meV/atom
uncorrected energy: -7.5708 eV per atom
symmetry: No. 44

=====

Entry 6:
First-principles (PBE-GGA) data for a geometry-optimized PrDyTmPu structure, as listed in the Alexandria database. Values from VASP.

Quantum ESPRESSO input file:
```
&SYSTEM
  ibrav = 0, nat = 4, ntyp = 4
/
ATOMIC_SPECIES
Pr 140.91 Pr.upf
Tm 168.93 Tm.upf
Dy 162.50 Dy.upf
Pu 244.00 Pu.upf
CELL_PARAMETERS angstrom
5.6336 0.0000 0.0000
2.8168 4.8789 0.0000
2.8168 1.6263 4.5998
ATOMIC_POSITIONS angstrom
Pr 0.0000 0.0000 0.0000
Tm 2.8168 1.6263 1.1500
Dy 8.4505 4.8789 3.4499
Pu 5.6336 3.2526 2.2999
```

Output
volume: 126.4 Å³/f.u.
DFT formation energy: 210.1 meV per atom
uncorrected energy: -6.8361 eV per atom
symmetry: No. 216

=====

Entry 7:
First-principles (PBE-GGA) data for a geometry-optimized ZrBe2Pb structure, as listed in the Alexandria database. Values from VASP.

Quantum ESPRESSO input file:
```
&SYSTEM
  ibrav = 0, nat = 4, ntyp = 3
/
ATOMIC_SPECIES
Pb 207.20 Pb.upf
Be 9.01 Be.upf
Zr 91.22 Zr.upf
CELL_PARAMETERS angstrom
-0.5053 3.0683 -1.6460
-3.2599 0.1674 1.3128
2.0642 2.8917 4.7568
ATOMIC_POSITIONS angstrom
Pb -1.3666 2.3408 1.0226
Be 1.9236 2.6948 4.4328
Be 1.1727 1.6428 2.7024
Zr -0.3345 3.7866 3.4010
```

Output
volume: 73.5 Å³/f.u.
DFT formation energy: 336.6 meV per atom
uncorrected energy: -4.5906 eV per atom
symmetry: No. 123

=====

Entry 8:
First-principles (PBE-GGA) data for a geometry-optimized BeTcAu2 structure, as listed in the Alexandria database. Values from VASP.

Quantum ESPRESSO input file:
```
&SYSTEM
  ibrav = 0, nat = 8, ntyp = 3
/
ATOMIC_SPECIES
Be 9.01 Be.upf
Au 196.97 Au.upf
Tc 98.00 Tc.upf
CELL_PARAMETERS angstrom
3.7464 0.0000 0.0000
0.0000 3.7464 0.0000
1.8732 1.8732 9.4281
ATOMIC_POSITIONS angstrom
Be 1.8732 1.8732 0.0000
Be 1.8732 3.7464 4.7141
Au 2.7870 0.9366 2.3570
Au 0.9593 2.8098 2.3570
Au 2.8098 2.8325 7.0711
Au 4.6830 4.6602 7.0711
Tc 0.0000 0.0000 0.0000
Tc 3.7464 1.8732 4.7141
```

Output
volume: 66.2 Å³/f.u.
DFT formation energy: 648.5 meV per atom
uncorrected energy: -4.5132 eV per atom
symmetry: No. 122

=====

Entry 9:
First-principles (PBE-GGA) data for a geometry-optimized LuTiTlAu structure, as listed in the Alexandria database. Values from VASP.

Quantum ESPRESSO input file:
```
&SYSTEM
  ibrav = 0, nat = 4, ntyp = 4
/
ATOMIC_SPECIES
Tl 204.38 Tl.upf
Lu 174.97 Lu.upf
Au 196.97 Au.upf
Ti 47.87 Ti.upf
CELL_PARAMETERS angstrom
-3.4900 -3.2243 -1.3847
1.2939 -4.3944 -1.8733
-0.7406 -4.1263 2.6304
ATOMIC_POSITIONS angstrom
Tl 0.0000 0.0000 0.0000
Lu -2.2025 -8.8088 -0.4708
Au -1.4683 -5.8725 -0.3138
Ti -0.7342 -2.9363 -0.1569
```

Output
volume: 85.7 Å³/f.u.
DFT formation energy: -263.8 meV per atom
uncorrected energy: -4.7787 eV per atom
symmetry: No. 216

=====

Entry 10:
First-principles (PBE-GGA) data for a geometry-optimized Sr2PaSiO6 structure, as listed in the Alexandria database. Values from VASP.

Quantum ESPRESSO input file:
```
&SYSTEM
  ibrav = 0, nat = 10, ntyp = 4
/
ATOMIC_SPECIES
Sr 87.62 Sr.upf
Pa 231.04 Pa.upf
Si 28.09 Si.upf
O 16.00 O.upf
CELL_PARAMETERS angstrom
-0.5748 -0.0452 -4.6191
-5.1033 -2.0909 0.6555
-2.0811 5.1450 0.2087
ATOMIC_POSITIONS angstrom
Sr -2.5914 -1.0486 0.0081
Sr -1.0804 2.5694 -0.2153
Pa -3.9474 1.4991 -2.4222
Si -0.3394 -0.0267 -2.7272
O -1.9787 0.6432 -2.9668
O -3.1412 3.5170 -2.8502
O -3.6680 1.5211 -0.1763
O -0.1345 -0.0106 -1.0805
O -5.9917 2.3491 -2.4840
O -4.8292 -0.5247 -2.6006
```

Output
volume: 143.6 Å³/f.u.
raw formation energy: -2949 meV/atom
uncorrected energy: -7.7521 eV per atom
symmetry: No. 99

=====

Entry 11:
First-principles (PBE-GGA) data for a geometry-optimized Y2Tm7In2 structure, as listed in the Alexandria database. Values from VASP.

Quantum ESPRESSO input file:
```
&SYSTEM
  ibrav = 0, nat = 11, ntyp = 3
/
ATOMIC_SPECIES
Y 88.91 Y.upf
Tm 168.93 Tm.upf
In 114.82 In.upf
CELL_PARAMETERS angstrom
7.9070 0.9726 1.4036
0.1953 6.4118 0.9821
0.1953 -1.3321 6.3483
ATOMIC_POSITIONS angstrom
Y 4.1488 0.5546 6.0797
Y 4.1488 5.4978 2.6543
Tm 1.4979 0.1810 3.6647
Tm 6.7997 2.6846 7.2776
Tm 6.7997 5.8713 5.0693
Tm 1.4979 3.3677 1.4564
Tm 0.0000 0.0000 0.0000
Tm 4.0474 3.9701 5.7292
Tm 4.2503 2.0822 3.0048
In 6.9032 2.8178 4.0663
In 1.3945 3.2345 4.6676
```

Output
volume: 329.0 Å³/f.u.
DFT formation energy: -12.9 meV per atom
uncorrected energy: -4.5316 eV per atom
symmetry: No. 12

=====

Entry 12:
First-principles (PBE-GGA) data for a geometry-optimized NbFe3Pt structure, as listed in the Alexandria database. Values from VASP.

Quantum ESPRESSO input file:
```
&SYSTEM
  ibrav = 0, nat = 5, ntyp = 3
/
ATOMIC_SPECIES
Nb 92.91 Nb.upf
Fe 55.84 Fe.upf
Pt 195.08 Pt.upf
CELL_PARAMETERS angstrom
4.6225 0.0000 0.0000
0.0000 4.6225 0.0000
0.0000 0.0000 4.6225
ATOMIC_POSITIONS angstrom
Nb 2.3112 2.3112 2.3112
Fe 0.0000 2.3112 0.0000
Fe 0.0000 0.0000 2.3112
Fe 2.3112 0.0000 0.0000
Pt 0.0000 0.0000 0.0000
```

Output
volume: 98.8 Å³/f.u.
excess energy over the best structure of this formula in the dataset: 0.000 eV per atom
DFT formation energy: 1232.8 meV per atom
uncorrected energy: -7.0669 eV per atom
symmetry: No. 221